PuPaNb, optimized geometry, DFT PBE; relative energy among the computed polymorphs = 0.349 eV per formula unit; energy relative to the elements = 0.2319 eV per atom
1.0
-4.600 -0.788 -0.863
-1.288 -3.052 -3.399
-1.949 -6.010 2.820
Nb Pa Pu
2 2 2
direct
0.803 0.803 0.590 Nb
0.197 0.197 0.410 Nb
0.607 0.607 0.178 Pa
0.393 0.393 0.822 Pa
0.060 0.060 0.821 Pu
0.940 0.940 0.179 Pu


CaCd2Pb, optimized geometry, DFT PBE; energy relative to the elements = -0.2633 eV per atom
1.0
6.263 0.708 0.000
-2.411 4.267 0.000
0.000 0.000 7.738
Cd Pb Ca
4 2 2
direct
0.267 0.383 0.448 Cd
0.733 0.617 0.948 Cd
0.267 0.383 0.052 Cd
0.733 0.617 0.552 Cd
0.081 0.789 0.250 Pb
0.919 0.211 0.750 Pb
0.664 0.081 0.250 Ca
0.336 0.919 0.750 Ca


ZrMoRu, optimized geometry, DFT PBE; relative energy among the computed polymorphs = 0.000 eV per formula unit; energy relative to the elements = -0.2133 eV per atom
1.0
-0.358 -3.161 3.346
-2.434 -0.475 -3.895
4.147 -2.844 -2.244
Mo Ru Zr
2 2 2
direct
0.000 0.000 0.000 Mo
0.000 0.000 0.500 Mo
0.667 0.333 0.341 Ru
0.333 0.667 0.659 Ru
0.667 0.333 0.830 Zr
0.333 0.667 0.170 Zr


Pm3Ho4Al4, optimized geometry, DFT PBE; energy relative to the elements = -0.1939 eV per atom
1.0
5.146 0.000 0.000
0.000 6.947 0.000
-2.573 -3.473 8.466
Pm Al Ho
3 4 4
direct
0.104 0.104 0.208 Pm
0.000 0.500 0.000 Pm
0.896 0.896 0.792 Pm
0.820 0.320 0.641 Al
0.500 0.196 0.000 Al
0.180 0.680 0.359 Al
0.500 0.804 0.000 Al
0.679 0.448 0.358 Ho
0.321 0.552 0.642 Ho
0.679 0.910 0.358 Ho
0.321 0.090 0.642 Ho


CoMoCl2, optimized geometry, DFT PBE; relative energy among the computed polymorphs = 0.101 eV per formula unit; formation energy from raw total energies = -0.16 eV per atom
1.0
-3.143 1.128 1.090
-0.651 0.329 3.436
2.673 7.407 -0.317
Co Cl Mo
1 2 1
direct
0.457 0.457 0.293 Co
0.119 0.119 0.118 Cl
0.798 0.798 0.651 Cl
0.126 0.126 0.438 Mo


ErTc6P4, optimized geometry, DFT PBE; energy relative to the elements = -0.2788 eV per atom
1.0
-4.214 0.137 5.065
0.459 -4.607 -4.690
6.406 -1.539 0.174
Tc Er P
6 1 4
direct
0.000 0.515 0.863 Tc
0.500 0.500 0.000 Tc
0.348 0.485 0.485 Tc
0.000 0.863 0.515 Tc
0.652 0.137 0.137 Tc
0.500 0.000 0.500 Tc
0.000 0.000 0.000 Er
0.000 0.183 0.594 P
0.411 0.817 0.817 P
0.589 0.406 0.406 P
0.000 0.594 0.183 P


A geometry-optimized K3HO3 structure. Source: the Alexandria database, functional PBE.

```
K3HO3
1.0
-4.053 1.504 3.150
2.264 -4.856 5.232
2.619 7.017 0.019
K O H
6 6 2
direct
0.750 0.715 0.617 K
0.750 0.383 0.098 K
0.250 0.617 0.902 K
0.250 0.285 0.383 K
0.750 0.902 0.285 K
0.250 0.098 0.715 K
0.750 0.303 0.465 O
0.750 0.162 0.697 O
0.250 0.465 0.162 O
0.750 0.535 0.838 O
0.250 0.697 0.535 O
0.250 0.838 0.303 O
0.250 0.667 0.333 H
0.750 0.333 0.667 H
```


YHo7Er12, optimized geometry, DFT PBE; relative energy among the computed polymorphs = 0.000 eV per formula unit; energy relative to the elements = 0.3108 eV per atom
1.0
-3.560 -7.219 3.037
3.567 -3.745 -6.874
7.056 -0.514 4.894
Er Ho Y
12 7 1
direct
0.815 0.250 0.687 Er
0.313 0.185 0.750 Er
0.750 0.313 0.185 Er
0.519 0.851 0.582 Er
0.687 0.815 0.250 Er
0.582 0.519 0.851 Er
0.185 0.750 0.313 Er
0.250 0.687 0.815 Er
0.481 0.149 0.418 Er
0.418 0.481 0.149 Er
0.851 0.582 0.519 Er
0.149 0.418 0.481 Er
0.022 0.085 0.354 Ho
0.646 0.978 0.915 Ho
0.978 0.915 0.646 Ho
0.085 0.354 0.022 Ho
0.500 0.500 0.500 Ho
0.915 0.646 0.978 Ho
0.354 0.022 0.085 Ho
0.000 0.000 0.000 Y


LiTlZnGe, optimized geometry, DFT PBE; relative energy among the computed polymorphs = 0.000 eV per formula unit; energy relative to the elements = -0.0746 eV per atom
1.0
4.325 0.013 -0.010
2.155 3.751 0.025
2.141 1.187 5.405
Tl Zn Li Ge
1 1 1 1
direct
0.317 0.868 0.168 Tl
0.516 0.068 0.572 Zn
0.106 0.659 0.802 Li
0.853 0.405 0.559 Ge


TaSn3, optimized geometry, DFT PBE; energy relative to the elements = 0.1649 eV per atom
1.0
3.046 0.000 0.000
0.000 4.919 0.000
-1.523 -2.459 6.862
Ta Sn
1 3
direct
0.000 0.917 0.000 Ta
0.310 0.727 0.620 Sn
0.690 0.106 0.380 Sn
0.500 0.417 0.000 Sn


CaTb6Ho8, optimized geometry, DFT PBE; energy relative to the elements = 0.2009 eV per atom
1.0
7.621 -0.302 2.851
1.874 7.393 2.851
-0.405 -0.302 8.127
Tb Ho Ca
6 8 1
direct
0.563 0.383 0.825 Tb
0.437 0.617 0.175 Tb
0.617 0.175 0.437 Tb
0.383 0.825 0.563 Tb
0.175 0.437 0.617 Tb
0.825 0.563 0.383 Tb
0.376 0.050 0.866 Ho
0.134 0.624 0.950 Ho
0.866 0.376 0.050 Ho
0.950 0.134 0.624 Ho
0.761 0.761 0.761 Ho
0.624 0.950 0.134 Ho
0.239 0.239 0.239 Ho
0.050 0.866 0.376 Ho
0.000 0.000 0.000 Ca


CsLiSe2, optimized geometry, DFT PBE; relative energy among the computed polymorphs = 1.265 eV per formula unit; formation energy from raw total energies = -0.60 eV per atom
1.0
2.859 0.000 6.314
-1.430 2.476 6.314
-1.430 -2.476 6.314
Li Se Cs
1 2 1
direct
0.500 0.500 0.500 Li
0.817 0.817 0.817 Se
0.183 0.183 0.183 Se
0.000 0.000 0.000 Cs


no.,magnetic moment (μB per formula unit),E (eV per atom)
1,0.0,-11.07
2,0.0,-2.15
3,0.0,-9.77
4,0.0,-4.52
5,1.0,-5.57
6,0.0,-8.32
7,2.0,-3.77
8,0.0,-4.35
9,0.0,-2.62
10,0.0,-5.80
11,0.0,-4.23
12,0.0,-3.04